No. 1
LiTbHoEr after structural relaxation. Source: Alexandria, functional PBE-GGA.

Cell lengths 7.7032, 7.7032, 7.7032 Å; angles 90.00, 90.00, 90.00 degrees
Closest atoms and distances in Å follow each position.
Space group F-43m (No. 216)
Unique sites:
1 Li 0.0000 0.0000 0.0000 [4 per cell]  4 Ho 3.34, 4 Tb 3.34
2 Tb 0.2500 0.2500 0.2500 [4 per cell]  4 Li 3.34, 4 Er 3.34
3 Ho 0.2500 0.2500 0.7500 [4 per cell]  4 Er 3.34, 4 Li 3.34
4 Er 0.0000 0.0000 0.5000 [4 per cell]  4 Tb 3.34, 4 Ho 3.34

Values from the calculation:
DOS at the Fermi energy: 11.7 states/eV per cell
E_tot: -3.750 eV/atom

No. 2
PmPaIn6 after structural relaxation. Source: Alexandria, functional PBE-GGA.

Cell lengths 4.6692, 4.6692, 9.3273 Å; angles 90.00, 90.00, 90.00 degrees
Closest atoms and distances in Å follow each position.
Space group P4/mmm (No. 123)
Unique sites:
1 Pm 0.0000 0.0000 0.0000 [1 per cell]  12 In 3.30-3.31
2 Pa 0.0000 0.0000 0.5000 [1 per cell]  12 In 3.29-3.30
3 In 0.0000 0.5000 0.2522 [4 per cell]  8 In 3.29-3.31, 2 Pa 3.29, 2 Pm 3.31
4 In 0.5000 0.5000 0.0000 [1 per cell]  4 Pm 3.30, 8 In 3.31
5 In 0.5000 0.5000 0.5000 [1 per cell]  8 In 3.29, 4 Pa 3.30

Values from the calculation:
DOS at the Fermi energy: 6.8 states/eV per cell
E_tot: -4.137 eV/atom

No. 3
Pm8Si3TeI4 after structural relaxation. Source: Alexandria, functional PBE-GGA.

Cell lengths 8.7251, 8.7251, 22.8257 Å; angles 90.00, 90.00, 120.00 degrees
Closest atoms and distances in Å follow each position.
Space group R-3m (No. 166, hexagonal axes)
Unique sites:
1 Pm 0.0000 0.0000 0.2316 [6 per cell]  3 Si 2.92
2 Pm 0.0235 0.5117 0.7670 [18 per cell]  2 Si 2.87, 1 Te 3.09
3 Si 0.0000 0.5000 0.5000 [9 per cell]  6 Pm 2.87-2.92
4 Te 0.0000 0.0000 0.5000 [3 per cell]  6 Pm 3.09
5 I 0.0000 0.0000 0.0000 [3 per cell]  6 Pm 3.27
6 I 0.0000 0.5000 0.0000 [9 per cell]  6 Pm 3.43-3.47

Values from the calculation:
Raw formation energy: -1.015 eV per atom
DOS at the Fermi energy: 21.9 states/eV per cell

No. 4
BaMnGaGe2 after structural relaxation. Source: Alexandria, functional PBE-GGA.

Cell lengths 4.7351, 4.7351, 4.7961 Å; angles 90.00, 90.00, 90.00 degrees
Closest atoms and distances in Å follow each position.
Space group P4/mmm (No. 123)
Unique sites:
1 Ba 0.0000 0.0000 0.0000 [1 per cell]  4 Ga 3.35, 8 Ge 3.37
2 Mn 0.5000 0.5000 0.5000 [1 per cell]  4 Ge 2.37, 2 Ga 2.40
3 Ga 0.5000 0.5000 0.0000 [1 per cell]  2 Mn 2.40
4 Ge 0.0000 0.5000 0.5000 [2 per cell]  2 Mn 2.37

Values from the calculation:
DOS at the Fermi energy: 3.3 states/eV per cell
E_tot: -4.906 eV/atom

No. 5
GaReTeN2 after structural relaxation. Source: Alexandria, functional PBE-GGA.

Cell lengths 3.9118, 3.9118, 5.7405 Å; angles 90.00, 90.00, 90.00 degrees
Closest atoms and distances in Å follow each position.
Space group P4/mmm (No. 123)
Unique sites:
1 Ga 0.0000 0.0000 0.0000 [1 per cell]  4 Te 2.77
2 Re 0.5000 0.5000 0.5000 [1 per cell]  4 N 1.96
3 Te 0.5000 0.5000 0.0000 [1 per cell]  4 Ga 2.77, 2 Re 2.87
4 N 0.0000 0.5000 0.5000 [2 per cell]  2 Re 1.96

Values from the calculation:
Raw formation energy: 0.456 eV per atom
DOS at the Fermi energy: 2.9 states/eV per cell
Relative energy among the computed polymorphs: 0 meV/atom

No. 6
HPtN2 after structural relaxation. Source: Alexandria, functional PBE-GGA.

Cell lengths 5.0678, 5.0678, 5.0678 Å; angles 90.00, 90.00, 90.00 degrees
Closest atoms and distances in Å follow each position.
Space group Fm-3m (No. 225)
Unique sites:
1 H 0.0000 0.0000 0.0000 [4 per cell]  8 N 2.19
2 Pt 0.0000 0.0000 0.5000 [4 per cell]  8 N 2.19
3 N 0.2500 0.2500 0.2500 [8 per cell]  4 H 2.19, 4 Pt 2.19

Values from the calculation:
DOS at the Fermi energy: 5.3 states/eV per cell
Relative energy among the computed polymorphs: 1026 meV/atom

No. 7
ZrScAuCl2 after structural relaxation. Source: Alexandria, functional PBE-GGA.

Cell lengths 4.8339, 4.8339, 5.6152 Å; angles 90.00, 90.00, 90.00 degrees
Closest atoms and distances in Å follow each position.
Space group P4/mmm (No. 123)
Unique sites:
1 Zr 0.0000 0.0000 0.0000 [1 per cell]  4 Cl 2.42
2 Sc 0.5000 0.5000 0.5000 [1 per cell]  4 Au 3.42, 8 Cl 3.70
3 Au 0.0000 0.0000 0.5000 [1 per cell]  2 Zr 2.81
4 Cl 0.0000 0.5000 0.0000 [2 per cell]  2 Zr 2.42

Values from the calculation:
Raw formation energy: -0.399 eV per atom
DOS at the Fermi energy: 7.3 states/eV per cell

No. 8
Pr3ErTm8 after structural relaxation. Source: Alexandria, functional PBE-GGA.

Cell lengths 8.7359, 8.7359, 11.2586 Å; angles 90.00, 90.00, 90.00 degrees
Closest atoms and distances in Å follow each position.
Space group I-42m (No. 121)
Unique sites:
1 Pr 0.0000 0.0000 0.0000 [2 per cell]  8 Tm 3.19-3.28
2 Pr 0.0000 0.5000 0.2500 [4 per cell]  4 Tm 3.45
3 Er 0.0000 0.0000 0.5000 [2 per cell]  8 Tm 3.00-3.15
4 Tm 0.1257 0.1257 0.7433 [8 per cell]  3 Tm 3.11-3.24, 1 Er 3.15, 3 Pr 3.28-3.45
5 Tm 0.2425 0.2425 0.4857 [8 per cell]  1 Er 3.00, 2 Tm 3.18-3.24, 1 Pr 3.19

Values from the calculation:
DOS at the Fermi energy: 34.9 states/eV per cell
E_tot: -3.922 eV/atom

Number 1: total magnetic moment 0.00 μB/cell. Number 2: total magnetic moment 0.92 μB/cell. Number 3: total magnetic moment 0.00 μB/cell. Number 4: total magnetic moment 0.85 μB/cell. Number 5: total magnetic moment 0.21 μB/cell. Number 6: total magnetic moment 0.00 μB/cell. Number 7: total magnetic moment 0.00 μB/cell. Number 8: total magnetic moment 0.00 μB/cell.